Entry 1:
DFT (PBE-GGA) results for a geometry-optimized AlReIr4 structure.

Calculated values
energy	-8.1624	eV/atom

Cell: 5.1184 5.1184 5.1184 Å, 60.00 60.00 60.00°
With the nearest neighbours (Å) after each atom.
Atoms (fractional coordinates):
Al  0.0000  0.0000  0.0000  12 Ir 3.00, 4 Re 3.13
Re  0.2500  0.2500  0.2500  12 Ir 3.00, 4 Al 3.13
Ir  0.6252  0.6252  0.1244  6 Ir 2.56
Ir  0.6252  0.1244  0.6252  6 Ir 2.56
Ir  0.6252  0.6252  0.6252  6 Ir 2.56
Ir  0.1244  0.6252  0.6252  6 Ir 2.56

=====

Entry 2:
DFT (PBE-GGA) results for a geometry-optimized AlRe4Ir structure.

Calculated values
energy	-9.9350	eV/atom

Cell: 5.1425 5.1425 5.1425 Å, 60.00 60.00 60.00°
With the nearest neighbours (Å) after each atom.
Atoms (fractional coordinates):
Al  0.7500  0.7500  0.7500  12 Re 3.01, 4 Ir 3.15
Re  0.8747  0.3751  0.3751  6 Re 2.57
Re  0.3751  0.3751  0.8747  6 Re 2.57
Re  0.3751  0.8747  0.3751  6 Re 2.57
Re  0.3751  0.3751  0.3751  6 Re 2.57
Ir  0.0000  0.0000  0.0000  12 Re 3.02, 4 Al 3.15

=====

Entry 3:
DFT (PBE-GGA) results for a geometry-optimized AlReIr2 structure.

Calculated values
energy	-8.6600	eV/atom

Cell: 4.6061 4.6061 2.7815 Å, 90.00 90.00 90.00°
With the nearest neighbours (Å) after each atom.
Atoms (fractional coordinates):
Re  0.5000  0.0000  0.5000  8 Ir 2.69, 2 Re 2.78
Ir  0.0000  0.0000  0.0000  4 Re 2.69, 4 Al 2.69, 2 Ir 2.78
Ir  0.5000  0.5000  0.0000  4 Re 2.69, 4 Al 2.69, 2 Ir 2.78
Al  0.0000  0.5000  0.5000  8 Ir 2.69, 2 Al 2.78

=====

Entry 4:
DFT (PBE-GGA) results for a geometry-optimized Al2ReIr structure.

Calculated values
energy	-7.4445	eV/atom

Cell: 8.7679 8.7679 8.7679 Å, 18.60 18.60 18.60°
With the nearest neighbours (Å) after each atom.
Atoms (fractional coordinates):
Re  0.2488  0.2488  0.2488  3 Al 2.69, 3 Ir 2.70, 6 Re 2.83
Ir  0.4992  0.4992  0.4992  3 Al 2.61, 3 Re 2.70, 6 Ir 2.83
Al  0.9980  0.9980  0.9980  3 Re 2.69, 9 Al 2.83
Al  0.7539  0.7539  0.7539  3 Ir 2.61, 9 Al 2.83

=====

Entry 5:
DFT (PBE-GGA) results for a geometry-optimized AlReIr2 structure.

Calculated values
energy	-8.8242	eV/atom

Cell: 4.6554 4.6554 2.7846 Å, 90.00 90.00 106.19°
With the nearest neighbours (Å) after each atom.
Atoms (fractional coordinates):
Re  0.5000  0.0000  0.5000  8 Ir 2.71, 2 Re 2.78, 2 Al 2.80
Ir  0.0000  0.0000  0.0000  4 Al 2.71, 4 Re 2.71, 4 Ir 2.78-2.80
Ir  0.5000  0.5000  0.0000  4 Re 2.71, 4 Al 2.71, 4 Ir 2.78-2.80
Al  0.0000  0.5000  0.5000  8 Ir 2.71, 2 Al 2.78, 2 Re 2.80

=====

Entry 6:
DFT (PBE-GGA) results for a geometry-optimized Al2ReIr structure.

Calculated values
energy	-7.4070	eV/atom

Cell: 2.8819 4.8432 4.2187 Å, 90.00 90.00 90.00°
With the nearest neighbours (Å) after each atom.
Atoms (fractional coordinates):
Re  0.0000  0.5000  0.5000  4 Al 2.55, 4 Ir 2.82
Ir  0.5000  0.0000  0.5000  4 Al 2.55, 4 Re 2.82
Al  0.0000  0.0000  0.0000  4 Ir 2.55, 4 Al 2.82
Al  0.5000  0.5000  0.0000  4 Re 2.55, 4 Al 2.82

=====

Entry 7:
DFT (PBE-GGA) results for a geometry-optimized AlReIr structure.

Calculated values
ΔE to the lowest computed polymorph	220	meV/atom
energy	-8.4766	eV/atom

Cell: 4.1681 4.1681 4.1681 Å, 60.00 60.00 60.00°
With the nearest neighbours (Å) after each atom.
Atoms (fractional coordinates):
Re  0.0000  0.0000  0.0000  4 Ir 2.55
Ir  0.2500  0.2500  0.2500  4 Al 2.55, 4 Re 2.55
Al  0.5000  0.5000  0.5000  4 Ir 2.55

=====

Entry 8:
DFT (PBE-GGA) results for a geometry-optimized AlReIr structure.

Calculated values
ΔE to the lowest computed polymorph	88	meV/atom
energy	-8.6086	eV/atom

Cell: 2.7757 2.7757 6.5480 Å, 90.00 90.00 120.00°
With the nearest neighbours (Å) after each atom.
Atoms (fractional coordinates):
Re  0.3333  0.6667  0.6658  3 Ir 2.72, 3 Al 2.74, 6 Re 2.78
Ir  0.6667  0.3333  0.3295  3 Al 2.66, 3 Re 2.72, 6 Ir 2.78
Al  0.0000  0.0000  0.0048  3 Ir 2.66, 3 Re 2.74, 6 Al 2.78

=====

Entry 9:
DFT (PBE-GGA) results for a geometry-optimized AlReIr2 structure.

Calculated values
energy	-8.7444	eV/atom

Cell: 2.7976 3.8883 5.4179 Å, 90.00 90.00 90.00°
With the nearest neighbours (Å) after each atom.
Atoms (fractional coordinates):
Re  0.0000  0.0000  0.4782  6 Ir 2.62-2.78, 2 Re 2.80, 4 Al 2.89
Ir  0.0000  0.0000  0.9647  4 Al 2.60, 2 Re 2.64-2.78, 2 Ir 2.80
Ir  0.5000  0.5000  0.2809  4 Re 2.62, 2 Al 2.68-2.73, 2 Ir 2.80
Al  0.5000  0.5000  0.7762  6 Ir 2.60-2.73, 2 Al 2.80, 4 Re 2.89

=====

Entry 10:
DFT (PBE-GGA) results for a geometry-optimized AlReIr2 structure.

Calculated values
energy	-8.7317	eV/atom

Cell: 4.7176 4.7176 4.7449 Å, 81.32 81.32 33.78°
With the nearest neighbours (Å) after each atom.
Atoms (fractional coordinates):
Re  0.7500  0.7500  0.7500  6 Ir 2.70-2.74, 4 Al 2.74, 2 Re 2.74
Ir  0.9997  0.9997  0.9982  3 Re 2.70-2.74, 3 Al 2.72-2.75, 6 Ir 2.72-2.76
Ir  0.5003  0.5003  0.5018  3 Re 2.70-2.74, 3 Al 2.72-2.75, 6 Ir 2.72-2.76
Al  0.2500  0.2500  0.2500  6 Ir 2.72-2.75, 4 Re 2.74, 2 Al 2.74

=====

Entry 11:
DFT (PBE-GGA) results for a geometry-optimized Al2ReIr structure.

Calculated values
energy	-7.6739	eV/atom

Cell: 4.9893 4.9893 4.5663 Å, 71.08 71.08 32.75°
With the nearest neighbours (Å) after each atom.
Atoms (fractional coordinates):
Re  0.2392  0.2392  0.1813  7 Al 2.61-2.74, 2 Ir 2.73, 2 Re 2.81
Ir  0.5074  0.5074  0.5748  7 Al 2.61-2.76, 2 Re 2.73, 2 Ir 2.81
Al  0.9900  0.9900  0.0677  3 Re 2.61-2.68, 4 Ir 2.61-2.76, 3 Al 2.81-2.89
Al  0.7633  0.7633  0.6762  3 Ir 2.63-2.64, 4 Re 2.64-2.74, 3 Al 2.81-2.89

=====

Entry 12:
DFT (PBE-GGA) results for a geometry-optimized Al2ReIr structure.

Calculated values
energy	-7.6847	eV/atom

Cell: 2.9953 2.9966 6.2440 Å, 90.00 90.00 90.00°
With the nearest neighbours (Å) after each atom.
Atoms (fractional coordinates):
Re  0.5000  0.5000  0.7500  8 Al 2.65
Ir  0.5000  0.5000  0.2500  8 Al 2.61
Al  0.0000  0.0000  0.0049  4 Ir 2.61, 4 Re 2.65
Al  0.0000  0.0000  0.4951  4 Ir 2.61, 4 Re 2.65

=====

Number 1: size of the total moment 0.00 μB/cell. Number 2: size of the total moment 0.00 μB/cell. Number 3: size of the total moment 0.00 μB/cell. Number 4: size of the total moment 0.00 μB/cell. Number 5: size of the total moment 0.00 μB/cell. Number 6: size of the total moment 0.00 μB/cell. Number 7: size of the total moment 0.00 μB/cell. Number 8: size of the total moment 0.00 μB/cell. Number 9: size of the total moment 0.00 μB/cell. Number 10: size of the total moment 0.00 μB/cell. Number 11: size of the total moment 0.00 μB/cell. Number 12: size of the total moment 0.00 μB/cell.